Density functional theory data (PBE) for Fe11Ag3 after structural relaxation.

ΔH_f (0 K): 5.65 eV/f.u.
Crystal system: monoclinic
Size of the total moment: 28.25 μB/f.u.
VASP energy: -94.22 eV per formula unit

abc: 6.2860 6.2860 6.3968
angles: 118.58 118.58 69.95
Last column: nearest neighbours and their distance in Å.
Sites, in units of the cell vectors:
1 Fe 0.9156 0.5151 0.0464  5 Fe 2.42-2.56, 1 Ag 2.54
2 Ag 0.4666 0.4666 0.8494  10 Fe 2.54-2.78
3 Fe 0.1913 0.7672 0.1177  4 Fe 2.32-2.50
4 Ag 0.0114 0.0114 0.8099  7 Fe 2.56-2.77, 1 Ag 2.79
5 Fe 0.9481 0.9481 0.3590  8 Fe 2.32-2.53, 1 Ag 2.56
6 Fe 0.2070 0.2070 0.3344  7 Fe 2.44-2.56, 1 Ag 2.72
7 Fe 0.3850 0.0187 0.6619  6 Fe 2.36-2.64, 1 Ag 2.61
8 Fe 0.7672 0.1913 0.1177  4 Fe 2.32-2.50
9 Fe 0.5151 0.9156 0.0464  5 Fe 2.42-2.56, 1 Ag 2.54
10 Ag 0.6844 0.6844 0.4146  10 Fe 2.72-3.03, 2 Ag 2.79-2.94
11 Fe 0.3359 0.3359 0.0919  9 Fe 2.42-2.60, 1 Ag 2.58
12 Fe 0.2665 0.6312 0.4886  6 Fe 2.36-2.63, 1 Ag 2.57
13 Fe 0.6312 0.2665 0.4886  6 Fe 2.36-2.63, 1 Ag 2.57
14 Fe 0.0187 0.3850 0.6619  6 Fe 2.36-2.64, 1 Ag 2.61


Density functional theory data (PBE) for Fe2Ag after structural relaxation.

ΔH_f (0 K): 0.84 eV/f.u.
Crystal system: cubic
Size of the total moment: 5.14 μB/f.u.
VASP energy: -18.60 eV per formula unit

abc: 4.8978 4.8978 4.8978
angles: 60.00 60.00 60.00
Last column: nearest neighbours and their distance in Å.
Sites, in units of the cell vectors:
1 Ag 0.0000 0.0000 0.0000  12 Fe 2.87, 4 Ag 3.00
2 Fe 0.6250 0.6250 0.1250  6 Fe 2.45
3 Ag 0.2500 0.2500 0.2500  12 Fe 2.87, 4 Ag 3.00
4 Fe 0.6250 0.1250 0.6250  6 Fe 2.45
5 Fe 0.6250 0.6250 0.6250  6 Fe 2.45
6 Fe 0.1250 0.6250 0.6250  6 Fe 2.45


Density functional theory data (PBE) for Fe3Ag2 after structural relaxation.

ΔH_f (0 K): 3.78 eV/f.u.
Crystal system: trigonal
Size of the total moment: 8.67 μB/f.u.
VASP energy: -26.79 eV per formula unit

abc: 6.3385 6.3385 6.0051
angles: 121.85 58.15 120.00
Last column: nearest neighbours and their distance in Å.
Sites, in units of the cell vectors:
1 Fe 0.9680 0.4681 0.7500  2 Fe 2.39, 4 Ag 2.56-2.66
2 Fe 0.4680 0.7500 0.2500  2 Fe 2.39, 4 Ag 2.56-2.66
3 Ag 0.9090 0.0909 0.2728  6 Fe 2.56-2.66, 1 Ag 2.60
4 Fe 0.2500 0.9681 0.2500  2 Fe 2.39, 4 Ag 2.56-2.66
5 Ag 0.0909 0.9091 0.7272  6 Fe 2.56-2.66, 1 Ag 2.60
6 Fe 0.7500 0.0320 0.7500  2 Fe 2.39, 4 Ag 2.56-2.66
7 Fe 0.0319 0.5319 0.2500  2 Fe 2.39, 4 Ag 2.56-2.66
8 Ag 0.4091 0.5910 0.7728  6 Fe 2.56-2.66, 1 Ag 2.60
9 Fe 0.5319 0.2500 0.7500  2 Fe 2.39, 4 Ag 2.56-2.66
10 Ag 0.5910 0.4091 0.2272  6 Fe 2.56-2.66, 1 Ag 2.60


Density functional theory data (PBE) for FeAg3 after structural relaxation.

ΔH_f (0 K): 1.35 eV/f.u.
Crystal system: hexagonal
Size of the total moment: 2.97 μB/f.u.
VASP energy: -15.43 eV per formula unit

abc: 5.7466 5.7466 4.6260
angles: 90.00 90.00 120.00
Last column: nearest neighbours and their distance in Å.
Sites, in units of the cell vectors:
1 Ag 0.6611 0.8305 0.2500  8 Ag 2.82-2.92, 4 Fe 2.83-2.87
2 Ag 0.8305 0.6611 0.7500  8 Ag 2.82-2.92, 4 Fe 2.83-2.87
3 Ag 0.1695 0.3389 0.2500  8 Ag 2.82-2.92, 4 Fe 2.83-2.87
4 Ag 0.8305 0.1695 0.7500  8 Ag 2.82-2.92, 4 Fe 2.83-2.87
5 Fe 0.6667 0.3333 0.2500  12 Ag 2.83-2.87
6 Ag 0.3389 0.1695 0.7500  8 Ag 2.82-2.92, 4 Fe 2.83-2.87
7 Ag 0.1695 0.8305 0.2500  8 Ag 2.82-2.92, 4 Fe 2.83-2.87
8 Fe 0.3333 0.6667 0.7500  12 Ag 2.83-2.87